Record 1
{
  "formula": "K3Sn5S12",
  "functional": "PBE",
  "state": "optimized geometry",
  "lattice": [[-8.1267, 8.1267, 8.1267], [8.1267, -8.1267, 8.1267], [8.1267, 8.1267, -8.1267]],
  "species": ["K", "K", "K", "K", "K", "K", "K", "K", "K", "K", "K", "K", "Sn", "Sn", "Sn", "Sn", "Sn", "Sn", "Sn", "Sn", "Sn", "Sn", "Sn", "Sn", "Sn", "Sn", "Sn", "Sn", "Sn", "Sn", "Sn", "Sn", "S", "S", "S", "S", "S", "S", "S", "S", "S", "S", "S", "S", "S", "S", "S", "S", "S", "S", "S", "S", "S", "S", "S", "S", "S", "S", "S", "S", "S", "S", "S", "S", "S", "S", "S", "S", "S", "S", "S", "S", "S", "S", "S", "S", "S", "S", "S", "S"],
  "frac_coords": [[0.1250, 0.2500, 0.3750], [0.1250, 0.3750, 0.7500], [0.2500, 0.3750, 0.1250], [0.2500, 0.8750, 0.6250], [0.3750, 0.1250, 0.2500], [0.3750, 0.7500, 0.1250], [0.6250, 0.2500, 0.8750], [0.6250, 0.8750, 0.7500], [0.7500, 0.1250, 0.3750], [0.7500, 0.6250, 0.8750], [0.8750, 0.6250, 0.2500], [0.8750, 0.7500, 0.6250], [0.0000, 0.0000, 0.0000], [0.0000, 0.0000, 0.5000], [0.0000, 0.5000, 0.0000], [0.0000, 0.5000, 0.5000], [0.1250, 0.7500, 0.8750], [0.1250, 0.8750, 0.2500], [0.2500, 0.1250, 0.8750], [0.2500, 0.6250, 0.3750], [0.3750, 0.2500, 0.6250], [0.3750, 0.6250, 0.7500], [0.5000, 0.0000, 0.0000], [0.5000, 0.0000, 0.5000], [0.5000, 0.5000, 0.0000], [0.5000, 0.5000, 0.5000], [0.6250, 0.3750, 0.2500], [0.6250, 0.7500, 0.3750], [0.7500, 0.3750, 0.6250], [0.7500, 0.8750, 0.1250], [0.8750, 0.1250, 0.7500], [0.8750, 0.2500, 0.1250], [0.0259, 0.2042, 0.1145], [0.0259, 0.3217, 0.9114], [0.0886, 0.6145, 0.4103], [0.0886, 0.9741, 0.6783], [0.0897, 0.7042, 0.6783], [0.0897, 0.8855, 0.4114], [0.1145, 0.0259, 0.2042], [0.1145, 0.5886, 0.9103], [0.1783, 0.2042, 0.5897], [0.1783, 0.4741, 0.5886], [0.2042, 0.1145, 0.0259], [0.2042, 0.5897, 0.1783], [0.2958, 0.3217, 0.9103], [0.2958, 0.4741, 0.3855], [0.3217, 0.9103, 0.2958], [0.3217, 0.9114, 0.0259], [0.3855, 0.2958, 0.4741], [0.3855, 0.5897, 0.9114], [0.4103, 0.0886, 0.6145], [0.4103, 0.8217, 0.7958], [0.4114, 0.0897, 0.8855], [0.4114, 0.8217, 0.5259], [0.4741, 0.3855, 0.2958], [0.4741, 0.5886, 0.1783], [0.5259, 0.4114, 0.8217], [0.5259, 0.6145, 0.7042], [0.5886, 0.1783, 0.4741], [0.5886, 0.9103, 0.1145], [0.5897, 0.1783, 0.2042], [0.5897, 0.9114, 0.3855], [0.6145, 0.4103, 0.0886], [0.6145, 0.7042, 0.5259], [0.6783, 0.0886, 0.9741], [0.6783, 0.0897, 0.7042], [0.7042, 0.5259, 0.6145], [0.7042, 0.6783, 0.0897], [0.7958, 0.4103, 0.8217], [0.7958, 0.8855, 0.9741], [0.8217, 0.5259, 0.4114], [0.8217, 0.7958, 0.4103], [0.8855, 0.4114, 0.0897], [0.8855, 0.9741, 0.7958], [0.9103, 0.1145, 0.5886], [0.9103, 0.2958, 0.3217], [0.9114, 0.0259, 0.3217], [0.9114, 0.3855, 0.5897], [0.9741, 0.6783, 0.0886], [0.9741, 0.7958, 0.8855]],
  "space_group": "Ia-3d"
}

=====

Record 2
{
  "formula": "K2Sn3S6",
  "functional": "PBE",
  "state": "optimized geometry",
  "lattice": [[3.3651, -5.9105, 0.0000], [3.3651, 5.9105, 0.0000], [-2.0784, 0.0000, 7.6164]],
  "species": ["K", "K", "Sn", "Sn", "Sn", "S", "S", "S", "S", "S", "S"],
  "frac_coords": [[0.1572, 0.8428, 0.0000], [0.8428, 0.1572, 0.0000], [0.0000, 0.0000, 0.5000], [0.3333, 0.6667, 0.5000], [0.6667, 0.3333, 0.5000], [0.0549, 0.4238, 0.6949], [0.3100, 0.3100, 0.3038], [0.4238, 0.0549, 0.6949], [0.5762, 0.9451, 0.3051], [0.6900, 0.6900, 0.6962], [0.9451, 0.5762, 0.3051]],
  "space_group": "C2/m"
}

=====

Spin magnetization, respectively: 0.01 0.00 μB/cell.
ΔE_f (raw), respectively: -0.484 -0.672 eV per atom.